The following is a PBE with a Hubbard U calculation of a relaxed structure of Rb2Mn3ZnF12, from the Alexandria database.

Summary:
Calculated total energy   -4.98 eV per atom
Magnetization   7.0 μB per cell
V   15.55 Å³/atom

Cell lengths 7.3630, 7.3630, 7.3630 Å; angles 59.64, 59.64, 59.64 degrees
With the nearest neighbours (Å) after each atom.
Positions (direct):
F 0.3174 0.9201 0.3174  2 Mn 1.96
F 0.9201 0.3174 0.3174  2 Mn 1.96
Mn 0.0000 0.5000 0.0000  6 F 1.96
Rb 0.3775 0.3775 0.3775  6 F 3.12-3.17
F 0.9227 0.3357 0.9227  1 Mn 1.96, 1 Zn 2.06
F 0.0799 0.6826 0.6826  2 Mn 1.96
F 0.3357 0.9227 0.9227  1 Mn 1.96, 1 Zn 2.06
Rb 0.6225 0.6225 0.6225  6 F 3.12-3.17
F 0.6643 0.0773 0.0773  1 Mn 1.96, 1 Zn 2.06
F 0.0773 0.0773 0.6643  1 Mn 1.96, 1 Zn 2.06
F 0.6826 0.0799 0.6826  2 Mn 1.96
F 0.3174 0.3174 0.9201  2 Mn 1.96
F 0.9227 0.9227 0.3357  1 Mn 1.96, 1 Zn 2.06
F 0.6826 0.6826 0.0799  2 Mn 1.96
F 0.0773 0.6643 0.0773  1 Mn 1.96, 1 Zn 2.06
Mn 0.5000 0.0000 0.0000  6 F 1.96
Zn 0.0000 0.0000 0.0000  6 F 2.06
Mn 0.0000 0.0000 0.5000  6 F 1.96